1.
PaRu2W | PBE | relaxed

Cell lengths 3.045, 3.045, 7.449 Å; angles 90.00, 90.00, 90.00 degrees
Space group P4/mmm (No. 123)
One atom of each set of equivalent atoms:
1 Pa 0.000 0.000 0.000 (multiplicity 1)
2 Ru 0.500 0.500 0.288 (multiplicity 2)
3 W 0.000 0.000 0.500 (multiplicity 1)

Values from the calculation:
The polymorph energy (0 for the lowest one) is 0.000 eV/atom. The calculation puts the energy of formation from the pure elements at -0.16 eV per atom.



2.
LaEuBi2 | PBE | relaxed

Cell lengths 4.6990, 4.6990, 23.0234 Å; angles 90.00, 90.00, 120.00 degrees
Space group R-3m (No. 166, hexagonal axes)
One atom of each set of equivalent atoms:
1 La 0.0000 0.0000 0.0000 (multiplicity 3)
2 Eu 0.0000 0.0000 0.5000 (multiplicity 3)
3 Bi 0.0000 0.0000 0.2501 (multiplicity 6)

Values from the calculation:
The polymorph energy (0 for the lowest one) is 0.000 eV/atom. The calculation puts the energy of formation from the pure elements at -0.87 eV per atom.



3.
Tl2SiSb | PBE | relaxed

Cell lengths 3.4372, 3.4372, 31.1419 Å; angles 90.00, 90.00, 120.00 degrees
Space group R-3m (No. 166, hexagonal axes)
One atom of each set of equivalent atoms:
1 Tl 0.0000 0.0000 0.2429 (multiplicity 6)
2 Si 0.0000 0.0000 0.5000 (multiplicity 3)
3 Sb 0.0000 0.0000 0.0000 (multiplicity 3)

Values from the calculation:
The value obtained for the formation energy (no corrections) is 422 meV/atom. The polymorph energy (0 for the lowest one) is 0.271 eV/atom.



4.
SbTe2As | PBE | relaxed

Cell lengths 6.123, 6.123, 6.195 Å; angles 90.00, 90.00, 90.00 degrees
Space group I4/mmm (No. 139)
One atom of each set of equivalent atoms:
1 Sb 0.000 0.000 0.000 (multiplicity 2)
2 Te 0.000 0.500 0.000 (multiplicity 4)
3 As 0.000 0.000 0.500 (multiplicity 2)

Values from the calculation:
The value obtained for the formation energy (no corrections) is 91 meV/atom. The polymorph energy (0 for the lowest one) is 0.036 eV/atom.



5.
La8Co3PI4 | PBE | relaxed

Cell lengths 14.923, 8.258, 9.456 Å; angles 90.00, 120.91, 90.00 degrees
Space group C2/m (No. 12)
One atom of each set of equivalent atoms:
1 La 0.018 0.235 0.315 (multiplicity 8)
2 La 0.235 0.500 0.678 (multiplicity 4)
3 La 0.238 0.000 0.684 (multiplicity 4)
4 Co 0.000 0.000 0.500 (multiplicity 2)
5 Co 0.250 0.250 0.500 (multiplicity 4)
6 P 0.000 0.500 0.500 (multiplicity 2)
7 I 0.000 0.000 0.000 (multiplicity 2)
8 I 0.000 0.500 0.000 (multiplicity 2)
9 I 0.250 0.250 0.000 (multiplicity 4)

Values from the calculation:
The value obtained for the formation energy (no corrections) is -834 meV/atom.



6.
SiSbRu2 | PBE | relaxed

Cell lengths 8.048, 3.013, 5.317 Å; angles 90.00, 103.59, 90.00 degrees
Space group C2/m (No. 12)
One atom of each set of equivalent atoms:
1 Si 0.000 0.000 0.000 (multiplicity 2)
2 Sb 0.000 0.500 0.500 (multiplicity 2)
3 Ru 0.238 0.500 0.224 (multiplicity 4)

Values from the calculation:
The value obtained for the formation energy (no corrections) is -78 meV/atom. The polymorph energy (0 for the lowest one) is 0.117 eV/atom.



For each record above, in turn, the calculated N(E_F) values are 0.5595; 3.2526; 0.9203; 0.4363; 0.5794; 0.6046 states/eV/atom.